1.
Here is a relaxed LaHo4Pd5 crystal from Alexandria via LeMat-Bulk. Energies are from PBE.

a b c (Å): 3.489 3.489 18.022
angles (deg): 90.00 90.00 90.00
Fractional coordinates of all 10 atoms:
Pd 0.500 0.500 0.500
La 0.000 0.000 0.000
Ho 0.000 0.000 0.793
Ho 0.000 0.000 0.597
Ho 0.000 0.000 0.403
Pd 0.500 0.500 0.695
Pd 0.500 0.500 0.884
Pd 0.500 0.500 0.305
Pd 0.500 0.500 0.116
Ho 0.000 0.000 0.207

Computed properties:
* formation energy: -0.871 eV/atom
* magnetic moment: 0.00 Bohr magnetons per cell

2.
Here is a relaxed UTaS4 crystal from Alexandria via LeMat-Bulk. Energies are from PBE.

a b c (Å): 5.965 7.145 7.440
angles (deg): 118.12 90.00 90.00
Each line ends with the local moment (μB).
Fractional coordinates of all 12 atoms:
S 0.723 0.139 0.808  -0.06
S 0.269 0.326 0.646  -0.05
S 0.223 0.361 0.192  -0.06
U 0.000 0.000 0.000  2.15
Ta 0.500 0.000 0.500  0.63
Ta 0.000 0.500 0.500  0.63
U 0.500 0.500 0.000  2.15
S 0.277 0.861 0.192  -0.06
S 0.231 0.826 0.646  -0.05
S 0.769 0.174 0.354  -0.05
S 0.731 0.674 0.354  -0.05
S 0.777 0.639 0.808  -0.06

Computed properties:
* excess energy over the best structure of this formula in the dataset: 0 meV/atom
* ΔE_f (raw): -1.03 eV/atom
* magnetic moment: 6.00 Bohr magnetons per cell